No. 1
Cs2TmI6: optimized geometry, PBE-GGA.

Results
- final energy (eV per cell) = -53.64

```
Cs2TmI6
1.0
8.412 0.000 0.000
-4.206 7.285 0.000
0.000 0.000 14.126
Cs Tm I
4 2 12
direct
0.000 0.000 0.000
0.000 0.000 0.500
0.333 0.667 0.249
0.667 0.333 0.749
0.333 0.667 0.624
0.667 0.333 0.124
0.002 0.501 0.500
0.165 0.329 0.745
0.165 0.835 0.745
0.329 0.165 0.245
0.499 0.501 0.500
0.499 0.998 0.500
0.501 0.002 0.000
0.501 0.499 0.000
0.671 0.835 0.745
0.835 0.165 0.245
0.835 0.671 0.245
0.998 0.499 0.000
```

No. 2
TbYCuPd: optimized geometry, PBE-GGA.

Results
- final energy (eV per cell) = -22.60
- formation enthalpy at 0 K (meV/atom) = -555
- ΔE to the lowest computed polymorph (meV/atom) = 37

```
TbYCuPd
1.0
0.000 3.508 3.508
3.508 0.000 3.508
3.508 3.508 0.000
Tb Y Cu Pd
1 1 1 1
direct
0.000 0.000 0.000
0.500 0.500 0.500
0.750 0.750 0.750
0.250 0.250 0.250
```

No. 3
InBrF: optimized geometry, PBE-GGA.

Results
- final energy (eV per cell) = -21.68

```
InBrF
1.0
3.897 0.000 0.000
1.947 5.234 0.000
1.939 -0.187 8.313
In Br F
2 2 2
direct
0.067 0.278 0.089
0.933 0.722 0.911
0.457 0.270 0.318
0.543 0.730 0.682
0.282 0.867 0.069
0.718 0.133 0.931
```

No. 4
Mg2In5Cl12: optimized geometry, PBE-GGA.

Results
- final energy (eV per cell) = -61.13

```
Mg2In5Cl12
1.0
8.493 -3.756 0.000
8.493 3.756 0.000
-2.187 0.000 9.115
Mg In Cl
2 5 12
direct
0.238 0.762 0.000
0.762 0.238 0.000
0.000 0.000 0.500
0.296 0.296 0.663
0.347 0.347 0.173
0.653 0.653 0.827
0.704 0.704 0.337
0.022 0.022 0.186
0.106 0.590 0.971
0.109 0.585 0.371
0.410 0.894 0.029
0.415 0.891 0.629
0.493 0.493 0.810
0.507 0.507 0.190
0.585 0.109 0.371
0.590 0.106 0.971
0.891 0.415 0.629
0.894 0.410 0.029
0.978 0.978 0.814
```

No. 5
AgAsI2O: optimized geometry, PBE-GGA.

Results
- final energy (eV per cell) = -16.09
- ΔE to the lowest computed polymorph (meV/atom) = 0

```
AgAsI2O
1.0
5.836 0.000 0.000
0.000 5.836 0.000
0.000 0.000 3.827
Ag As I O
1 1 2 1
direct
0.000 0.000 0.000
0.500 0.500 0.500
0.000 0.500 0.500
0.500 0.000 0.500
0.500 0.500 0.000
```

No. 6
BaMn3: optimized geometry, PBE-GGA.

Results
- final energy (eV per cell) = -26.26
- formation enthalpy at 0 K (meV/atom) = 794
- ΔE to the lowest computed polymorph (meV/atom) = 205

```
BaMn3
1.0
3.561 0.000 0.000
-1.780 3.084 0.000
0.000 0.000 8.205
Ba Mn
1 3
direct
0.000 0.000 0.000
0.000 0.000 0.500
0.667 0.333 0.338
0.667 0.333 0.662
```

No. 7
LiCa2Zn: optimized geometry, PBE-GGA.

Results
- final energy (eV per cell) = -7.40
- formation enthalpy at 0 K (meV/atom) = -53

```
LiCa2Zn
1.0
2.225 1.285 7.106
-2.225 1.285 7.106
0.000 -2.570 7.106
Li Ca Zn
1 2 1
direct
0.000 0.000 0.000
0.240 0.240 0.240
0.426 0.426 0.426
0.666 0.666 0.666
```

no.,total magnetic moment (μB/cell)
1,0.00
2,0.00
3,0.00
4,0.00
5,0.00
6,3.83
7,0.00